A relaxed structure of Ce3PmOs3, computed with PBE-GGA.

Lattice parameters (Å, degrees): 7.303 7.303 7.303 74.37 74.37 74.37
Element x y z (fractional)
Ce1 0.125 0.820 0.371
Ce2 0.180 0.629 0.875
Ce3 0.371 0.125 0.820
Ce4 0.629 0.875 0.180
Ce5 0.820 0.371 0.125
Ce6 0.875 0.180 0.629
Pm1 0.331 0.331 0.331
Pm2 0.669 0.669 0.669
Os1 0.054 0.437 0.706
Os2 0.294 0.946 0.563
Os3 0.437 0.706 0.054
Os4 0.563 0.294 0.946
Os5 0.706 0.054 0.437
Os6 0.946 0.563 0.294

Density of states at the Fermi level ... 12.774 states/eV/cell
Space-group type ... R-3
VASP energy ... -8.118 eV/atom

A relaxed structure of Li2Sm2YSi2, computed with PBE-GGA.

Lattice parameters (Å, degrees): 9.627 9.627 9.627 26.52 26.52 26.52
Element x y z (fractional)
Li1 0.108 0.108 0.108
Li2 0.892 0.892 0.892
Sm1 0.376 0.376 0.376
Sm2 0.624 0.624 0.624
Y1 0.500 0.500 0.500
Si1 0.231 0.231 0.231
Si2 0.769 0.769 0.769

Density of states at the Fermi level ... 3.028 states/eV/cell
Space-group type ... R-3m
Raw formation energy ... -401 meV per atom

A relaxed structure of Pu3UGe2, computed with PBE-GGA.

Lattice parameters (Å, degrees): 6.165 6.165 7.233 101.60 101.60 86.38
Element x y z (fractional)
Pu1 0.041 0.959 0.750
Pu2 0.244 0.434 0.012
Pu3 0.434 0.244 0.512
Pu4 0.566 0.756 0.488
Pu5 0.756 0.566 0.988
Pu6 0.959 0.041 0.250
U1 0.394 0.606 0.750
U2 0.606 0.394 0.250
Ge1 0.070 0.598 0.375
Ge2 0.402 0.930 0.125
Ge3 0.598 0.070 0.875
Ge4 0.930 0.402 0.625

Density of states at the Fermi level ... 36.234 states/eV/cell
Space-group type ... C2/c
VASP energy ... -10.714 eV/atom

A relaxed structure of Bi2Te2O, computed with PBE-GGA.

Lattice parameters (Å, degrees): 8.655 8.655 8.492 90.00 90.00 151.85
Element x y z (fractional)
Bi1 0.061 0.939 0.500
Bi2 0.336 0.664 0.318
Bi3 0.664 0.336 0.818
Bi4 0.939 0.061 0.000
Te1 0.286 0.714 0.964
Te2 0.447 0.553 0.620
Te3 0.553 0.447 0.120
Te4 0.714 0.286 0.464
O1 0.107 0.893 0.741
O2 0.893 0.107 0.241

Space-group type ... Cmc2_1
Raw formation energy ... -461 meV per atom

A relaxed structure of Tb7Nd3Th, computed with PBE-GGA.

Lattice parameters (Å, degrees): 7.102 7.102 8.771 90.00 90.00 120.00
Element x y z (fractional)
Tb1 0.000 0.000 0.000
Tb2 0.166 0.332 0.325
Tb3 0.166 0.834 0.325
Tb4 0.502 0.005 0.001
Tb5 0.502 0.498 0.001
Tb6 0.668 0.834 0.325
Tb7 0.995 0.498 0.001
Nd1 0.337 0.169 0.659
Nd2 0.831 0.169 0.659
Nd3 0.831 0.663 0.659
Th1 0.667 0.333 0.324

Density of states at the Fermi level ... 17.150 states/eV/cell
Space-group type ... P3m1
VASP energy ... -4.746 eV/atom

A relaxed structure of Ce6CoHg2, computed with PBE-GGA.

Lattice parameters (Å, degrees): 6.688 6.688 6.674 115.91 115.91 61.92
Element x y z (fractional)
Ce1 0.220 0.741 0.777
Ce2 0.240 0.240 0.279
Ce3 0.259 0.780 0.223
Ce4 0.741 0.220 0.777
Ce5 0.760 0.760 0.721
Ce6 0.780 0.259 0.223
Co1 0.500 0.500 0.500
Hg1 0.233 0.233 0.774
Hg2 0.767 0.767 0.226

Density of states at the Fermi level ... 20.416 states/eV/cell
Space-group type ... C2/m
VASP energy ... -4.982 eV/atom

A relaxed structure of La2Tb2Sm5, computed with PBE-GGA.

Lattice parameters (Å, degrees): 10.242 10.242 10.242 85.15 107.95 140.92
Element x y z (fractional)
La1 0.003 0.126 0.130
La2 0.003 0.374 0.377
La3 0.997 0.626 0.623
La4 0.997 0.874 0.870
Tb1 0.456 0.213 0.743
Tb2 0.470 0.713 0.257
Tb3 0.535 0.035 0.500
Tb4 0.535 0.535 0.000
Sm1 0.107 0.408 0.805
Sm2 0.107 0.802 0.198
Sm3 0.389 0.899 0.989
Sm4 0.447 0.324 0.410
Sm5 0.447 0.537 0.623
Sm6 0.604 0.302 0.195
Sm7 0.604 0.908 0.802
Sm8 0.910 0.399 0.011
Sm9 0.914 0.037 0.590
Sm10 0.914 0.824 0.377

Density of states at the Fermi level ... 28.685 states/eV/cell
Space-group type ... Ima2
VASP energy ... -4.554 eV/atom

A relaxed structure of SrAs2O6, computed with PBE-GGA.

Lattice parameters (Å, degrees): 4.949 4.949 11.006 90.00 90.00 120.00
Element x y z (fractional)
Sr1 0.000 0.000 0.250
Sr2 0.000 0.000 0.750
As1 0.333 0.667 0.000
As2 0.333 0.667 0.500
As3 0.667 0.333 0.000
As4 0.667 0.333 0.500
O1 0.000 0.384 0.096
O2 0.000 0.384 0.404
O3 0.000 0.616 0.596
O4 0.000 0.616 0.904
O5 0.384 0.000 0.096
O6 0.384 0.000 0.404
O7 0.384 0.384 0.596
O8 0.384 0.384 0.904
O9 0.616 0.000 0.596
O10 0.616 0.000 0.904
O11 0.616 0.616 0.096
O12 0.616 0.616 0.404

Density of states at the Fermi level ... 0.000 states/eV/cell
Space-group type ... P6_3/mcm
Raw formation energy ... -1769 meV per atom

A relaxed structure of CaNdNi, computed with PBE-GGA.

Lattice parameters (Å, degrees): 3.997 3.997 6.641 90.00 90.00 120.00
Element x y z (fractional)
Ca1 0.000 0.000 0.000
Nd1 0.333 0.667 0.473
Ni1 0.667 0.333 0.255

Density of states at the Fermi level ... 3.157 states/eV/cell
Space-group type ... P3m1
VASP energy ... -4.246 eV/atom

A relaxed structure of AlZnMo2, computed with PBE-GGA.

Lattice parameters (Å, degrees): 5.063 5.063 2.698 96.82 96.82 115.72
Element x y z (fractional)
Al1 0.000 0.000 0.000
Zn1 0.500 0.500 0.000
Mo1 0.000 0.500 0.500
Mo2 0.500 0.000 0.500

Density of states at the Fermi level ... 2.458 states/eV/cell
Space-group type ... C2/m
VASP energy ... -6.681 eV/atom

A relaxed structure of CrMoSe2Br, computed with PBE-GGA.

Lattice parameters (Å, degrees): 4.899 4.899 5.340 90.00 90.00 90.00
Element x y z (fractional)
Cr1 0.000 0.000 0.000
Mo1 0.500 0.500 0.500
Se1 0.000 0.500 0.500
Se2 0.500 0.000 0.500
Br1 0.500 0.500 0.000

Density of states at the Fermi level ... 5.386 states/eV/cell
Space-group type ... P4/mmm
Raw formation energy ... 416 meV per atom

A relaxed structure of K2ScCd, computed with PBE-GGA.

Lattice parameters (Å, degrees): 3.826 3.826 11.061 90.00 90.00 90.00
Element x y z (fractional)
K1 0.000 0.000 0.000
K2 0.500 0.500 0.373
Sc1 0.000 0.000 0.653
Cd1 0.500 0.500 0.766

Density of states at the Fermi level ... 3.183 states/eV/cell
Space-group type ... P4mm
VASP energy ... -2.214 eV/atom